An optimized crystal structure of ZrMo2PBr. Source: Alexandria, functional PBE-GGA. Values from VASP.

Geometry as Quantum ESPRESSO input:
```
&SYSTEM
  ibrav = 0, nat = 5, ntyp = 4
/
ATOMIC_SPECIES
P 30.97 P.upf
Mo 95.94 Mo.upf
Br 79.90 Br.upf
Zr 91.22 Zr.upf
CELL_PARAMETERS angstrom
4.6049 0.0000 0.0000
0.0000 4.8920 0.0000
0.0000 0.0000 4.6049
ATOMIC_POSITIONS crystal
P 0.0000 0.5000 0.0000
Mo 0.0000 0.0000 0.5000
Mo 0.5000 0.0000 0.0000
Br 0.0000 0.0000 0.0000
Zr 0.5000 0.5000 0.5000
```

Calculated values
Uncorrected formation energy = 1478 meV/atom
DFT total energy = -29.9 eV per formula unit

***

An optimized crystal structure of In2AgPt. Source: Alexandria, functional PBE-GGA. Values from VASP.

Geometry as Quantum ESPRESSO input:
```
&SYSTEM
  ibrav = 0, nat = 4, ntyp = 3
/
ATOMIC_SPECIES
Ag 107.87 Ag.upf
Pt 195.08 Pt.upf
In 114.82 In.upf
CELL_PARAMETERS angstrom
9.2026 -0.0053 -0.0031
8.6491 3.1433 -0.0031
8.6491 1.5204 2.7512
ATOMIC_POSITIONS crystal
Ag 0.7500 0.7500 0.7500
Pt 0.2500 0.2500 0.2500
In 0.9955 0.9955 0.9955
In 0.5045 0.5045 0.5045
```

Calculated values
Energy above the most stable polymorph in this dataset = 146 meV per atom
DFT total energy = -14.6 eV per formula unit

***

An optimized crystal structure of Er8CoAg2. Source: Alexandria, functional PBE-GGA. Values from VASP.

Geometry as Quantum ESPRESSO input:
```
&SYSTEM
  ibrav = 0, nat = 11, ntyp = 3
/
ATOMIC_SPECIES
Er 167.26 Er.upf
Co 58.93 Co.upf
Ag 107.87 Ag.upf
CELL_PARAMETERS angstrom
5.7936 -0.3290 -1.2289
-2.5621 7.0004 -4.4173
-0.3022 -1.5353 8.5226
ATOMIC_POSITIONS crystal
Er 0.6491 0.3789 0.1528
Er 0.6491 0.1528 0.3789
Er 0.1456 0.2755 0.2755
Er 0.9832 0.1982 0.8077
Er 0.9832 0.8077 0.1982
Er 0.7749 0.7361 0.7361
Er 0.2843 0.8433 0.6211
Er 0.2843 0.6211 0.8433
Co 0.2786 0.0055 0.0055
Ag 0.4837 0.7232 0.2916
Ag 0.4837 0.2916 0.7232
```

Calculated values
Energy above the most stable polymorph in this dataset = 23 meV per atom
DFT total energy = -50.6 eV per formula unit

***

An optimized crystal structure of ErTmAlPt. Source: Alexandria, functional PBE-GGA. Values from VASP.

Geometry as Quantum ESPRESSO input:
```
&SYSTEM
  ibrav = 0, nat = 4, ntyp = 4
/
ATOMIC_SPECIES
Tm 168.93 Tm.upf
Al 26.98 Al.upf
Pt 195.08 Pt.upf
Er 167.26 Er.upf
CELL_PARAMETERS angstrom
4.9701 0.0000 0.0000
2.4850 4.3042 0.0000
2.4850 1.4347 4.0581
ATOMIC_POSITIONS crystal
Tm 0.5000 0.5000 0.5000
Al 0.2500 0.2500 0.2500
Pt 0.7500 0.7500 0.7500
Er 0.0000 0.0000 0.0000
```

Calculated values
DFT total energy = -21.9 eV per formula unit

***

Which value of DFT total energy does entry 3 give? -50.6 eV per formula unit